[1]
This record from the Alexandria database describes crystalline K3Pm at its relaxed geometry. The functional is PBE.

## Properties
ΔH_f (0 K) = 545 meV/atom
Total DFT energy (no corrections) = -1.4660 eV per atom
Spin magnetization = 0.602 μB per formula unit

Cell and atoms, written as POSCAR:
```
K3Pm
1.0
-6.2623 -2.8923 3.6724
1.3147 -3.6028 6.8087
1.9874 6.8202 -3.2562
K Pm
3 1
Cartesian
-3.3743 0.3402 2.8284
0.4142 -0.0151 4.3966
-2.4738 -3.2476 5.2406
0.0000 0.0000 0.0000
```

***

[2]
This record from the Alexandria database describes crystalline K3Pm at its relaxed geometry. The functional is PBE.

## Properties
ΔH_f (0 K) = 544 meV/atom
Total DFT energy (no corrections) = -1.4666 eV per atom
Spin magnetization = 1.355 μB per formula unit

Cell and atoms, written as POSCAR:
```
K3Pm
1.0
-7.6928 0.4633 3.8196
3.6603 -7.6597 -1.3837
3.1773 0.3705 6.3542
K Pm
6 2
Cartesian
0.7306 -2.4506 1.7687
-1.2310 -5.9512 2.9536
2.5111 -6.1766 1.0956
-1.5859 -4.3754 7.0214
0.3757 -0.8748 5.8365
-3.3664 -0.6494 7.6945
2.2589 -4.6742 5.1164
-3.1141 -2.1518 3.6737
```

***

[3]
This record from the Alexandria database describes crystalline KPmPr2S4 at its relaxed geometry. The functional is PBE.

## Properties
Total DFT energy (no corrections) = -5.8772 eV per atom
Spin magnetization = 0.000 μB per formula unit
Formation energy from raw total energies = -1.89 eV per atom

Cell and atoms, written as POSCAR:
```
KPmPr2S4
1.0
4.1108 0.0000 0.0000
0.0000 7.2018 -0.1776
0.0000 2.5028 6.7799
K Pm Pr S
1 1 2 4
Cartesian
0.0000 4.8523 3.3012
2.0555 6.1037 6.6911
0.0000 2.5028 6.7799
2.0554 1.2514 3.3899
0.0001 7.3009 5.0107
4.1108 2.4038 1.5915
2.0555 6.0703 1.4524
2.0554 3.6344 5.1499
```

***

[4]
This record from the Alexandria database describes crystalline K3PmPr2S6 at its relaxed geometry. The functional is PBE.

## Properties
Total DFT energy (no corrections) = -5.3789 eV per atom
Spin magnetization = 0.000 μB per formula unit
Formation energy from raw total energies = -1.85 eV per atom

Cell and atoms, written as POSCAR:
```
K3PmPr2S6
1.0
-4.1215 -1.8481 -5.7210
5.0338 -4.6341 2.5136
-5.3147 -0.8046 5.6368
K Pm Pr S
3 1 2 6
Cartesian
0.8477 -4.5712 3.9570
-5.2501 -2.7156 -1.5276
-2.2012 -3.6434 1.2147
0.0000 0.0000 0.0000
1.9815 -3.7053 -0.2317
-1.0693 -2.7769 -2.9757
-5.0207 -5.1419 0.6507
-0.4300 -4.9612 -1.2004
0.6182 -2.1449 1.7787
-2.0014 -6.0607 3.3663
-3.9724 -2.3256 3.6298
-2.4011 -1.2261 -0.9370
```

***

[5]
This record from the Alexandria database describes crystalline KPm4PrS8 at its relaxed geometry. The functional is PBE.

## Properties
Total DFT energy (no corrections) = -6.0470 eV per atom
Spin magnetization = 0.000 μB per formula unit
Formation energy from raw total energies = -1.91 eV per atom

Cell and atoms, written as POSCAR:
```
KPm4PrS8
1.0
-6.9581 3.0042 3.6882
-7.3711 -3.9481 -1.0592
-3.4927 -4.2127 6.4732
K Pm Pr S
1 4 1 8
Cartesian
-8.4242 -4.0563 6.6731
-9.3935 -1.1131 2.4473
-5.3848 -4.0378 2.7612
-5.1849 -0.6738 5.0584
-1.8181 -2.1275 3.2737
-3.5080 -4.1662 6.4063
-10.0711 -5.5126 4.7525
-9.8394 -1.6132 7.4152
-5.9368 -3.2982 5.3465
-4.3918 -1.4824 2.5530
-7.8520 0.2734 4.2262
-8.0696 -3.3907 1.7242
-11.7367 -1.8074 3.6680
-13.3947 -3.7814 6.7031
```

***

[6]
This record from the Alexandria database describes crystalline K3Pm2PrS6 at its relaxed geometry. The functional is PBE.

## Properties
Total DFT energy (no corrections) = -5.3835 eV per atom
Spin magnetization = 0.000 μB per formula unit
Formation energy from raw total energies = -1.86 eV per atom

Cell and atoms, written as POSCAR:
```
K3Pm2PrS6
1.0
7.2515 -0.0009 0.0004
-3.6248 6.2805 0.0004
-1.2092 -2.0938 7.3984
K Pm Pr S
3 2 1 6
Cartesian
-2.4198 4.1885 3.6996
4.8373 -0.0027 3.6996
1.2087 2.0929 3.6996
0.0002 4.1870 0.0004
3.6265 2.0926 0.0004
0.0000 0.0000 0.0000
3.6385 2.0700 5.8673
2.4049 4.1641 1.5328
-1.2211 2.1158 1.5319
-0.0254 4.1861 5.8673
0.0125 0.0217 5.8664
2.4429 -0.0003 1.5319
```

***

[7]
This record from the Alexandria database describes crystalline K2PmPrS4 at its relaxed geometry. The functional is PBE.

## Properties
Total DFT energy (no corrections) = -5.3809 eV per atom
Spin magnetization = 0.000 μB per formula unit
Formation energy from raw total energies = -1.85 eV per atom

Cell and atoms, written as POSCAR:
```
K2PmPrS4
1.0
-1.3635 2.4024 -3.1603
-6.1660 1.2822 3.6350
5.1519 5.4992 1.9576
K Pm Pr S
2 1 1 4
Cartesian
1.8942 3.9508 -0.6013
-0.5070 3.3907 2.7963
-3.7647 1.8423 0.2374
0.0000 0.0000 0.0000
-1.0839 2.6527 -0.3033
-1.2937 6.5311 2.7356
2.4361 4.7055 2.5261
-3.4501 2.0758 3.0666
```

***

[8]
This record from the Alexandria database describes crystalline K3PmPr2Se6 at its relaxed geometry. The functional is PBE.

## Properties
Total DFT energy (no corrections) = -4.9622 eV per atom
Spin magnetization = 0.000 μB per formula unit
Formation energy from raw total energies = -1.75 eV per atom

Cell and atoms, written as POSCAR:
```
K3PmPr2Se6
1.0
7.5529 -0.0006 0.0003
-3.7752 6.5418 0.0003
-1.2597 -2.1812 7.7125
K Pm Pr Se
3 1 2 6
Cartesian
-2.5127 4.3583 3.8565
5.0308 0.0016 3.8565
1.2590 2.1800 3.8565
0.0000 0.0000 0.0000
0.0013 4.3607 0.0003
3.7765 2.1804 0.0003
3.7639 2.2015 6.0824
2.5313 4.3829 1.6307
-1.2459 2.1584 1.6306
0.0258 4.3604 6.0824
-0.0133 -0.0230 6.0824
2.4922 -0.0005 1.6306
```

***

[9]
This record from the Alexandria database describes crystalline KPm2Pr3Se6 at its relaxed geometry. The functional is PBE.

## Properties
Total DFT energy (no corrections) = -5.6059 eV per atom
Spin magnetization = 0.000 μB per formula unit
Formation energy from raw total energies = -1.79 eV per atom

Cell and atoms, written as POSCAR:
```
KPm2Pr3Se6
1.0
-1.5267 -3.9295 0.5502
7.8355 -2.6980 2.4734
-3.2123 4.6315 7.7391
K Pm Pr Se
1 2 3 6
Cartesian
-0.7634 -1.9648 0.2751
1.7523 -1.9697 7.2199
1.3443 -0.0262 3.5427
3.1544 -3.3137 1.5118
-2.0646 -0.6398 6.1268
5.1612 -1.3561 4.6358
4.5325 -0.7092 7.5120
2.4612 -2.6418 4.3869
-1.4359 -1.2868 3.2507
2.0147 -0.6832 0.7109
1.0818 -1.3127 10.0517
0.6353 0.6459 6.3757
```

***

[10]
This record from the Alexandria database describes crystalline KPm4PrSe8 at its relaxed geometry. The functional is PBE.

## Properties
Total DFT energy (no corrections) = -5.5234 eV per atom
Spin magnetization = 0.000 μB per formula unit
Formation energy from raw total energies = -1.76 eV per atom

Cell and atoms, written as POSCAR:
```
KPm4PrSe8
1.0
8.7825 0.0000 0.0000
4.3913 7.6059 0.0000
4.3913 2.5353 7.2344
K Pm Pr Se
1 4 1 8
Cartesian
8.7825 5.0706 6.3654
8.7825 5.0706 0.8960
4.3913 4.9836 3.6490
6.5116 1.3111 3.6490
2.2710 1.3111 3.6490
4.3913 2.5353 7.1389
8.7825 7.8896 5.2891
11.2238 3.6611 5.2891
6.3412 3.6611 5.2891
4.3912 2.5353 2.1432
8.7825 2.3952 1.8790
6.4656 6.4082 1.8790
11.0994 6.4082 1.8790
13.1738 7.6059 5.2630
```

***

[11]
This record from the Alexandria database describes crystalline KPm2PrSe4 at its relaxed geometry. The functional is PBE.

## Properties
Total DFT energy (no corrections) = -5.4304 eV per atom
Spin magnetization = 0.000 μB per formula unit
Formation energy from raw total energies = -1.77 eV per atom

Cell and atoms, written as POSCAR:
```
KPm2PrSe4
1.0
-3.7425 -1.9505 -0.3544
1.4313 -1.4361 -7.2116
3.4772 -6.5856 -0.4742
K Pm Pr Se
1 2 1 4
Cartesian
2.4542 -4.0109 -3.8428
3.4772 -6.5856 -0.4742
-0.1327 -4.2681 -0.4143
-1.1556 -1.6933 -3.7830
3.6999 -6.0398 -5.8313
-2.5340 -3.9325 -2.2089
0.0501 -3.6364 -5.8217
1.1158 -6.3358 -2.2184
```

***

[12]
This record from the Alexandria database describes crystalline K2PmPrSe4 at its relaxed geometry. The functional is PBE.

## Properties
Total DFT energy (no corrections) = -4.9623 eV per atom
Spin magnetization = 0.000 μB per formula unit
Formation energy from raw total energies = -1.75 eV per atom

Cell and atoms, written as POSCAR:
```
K2PmPrSe4
1.0
4.3511 0.0000 0.0000
0.0000 7.5347 0.1294
0.0000 -2.6411 7.6632
K Pm Pr Se
2 1 1 4
Cartesian
2.1756 -1.3206 3.8316
0.0000 2.4468 3.8963
2.1756 3.7674 0.0647
0.0000 0.0000 0.0000
2.1756 1.2510 1.6543
2.1756 3.6426 6.1383
0.0000 -0.0784 6.0858
0.0000 4.9720 1.7068
```

***

[13]
This record from the Alexandria database describes crystalline KPmPr2Se4 at its relaxed geometry. The functional is PBE.

## Properties
Total DFT energy (no corrections) = -5.4254 eV per atom
Spin magnetization = 0.000 μB per formula unit
Formation energy from raw total energies = -1.76 eV per atom

Cell and atoms, written as POSCAR:
```
KPmPr2Se4
1.0
4.2640 0.0000 0.0000
0.0000 7.4856 -0.1918
0.0000 2.5944 7.0474
K Pm Pr Se
1 1 2 4
Cartesian
0.0000 5.0400 3.4278
2.1320 3.7428 -0.0959
0.0000 2.5944 7.0474
2.1320 1.2972 3.5237
0.0001 7.5768 5.1950
4.2640 2.5032 1.6605
2.1321 6.3006 1.5199
2.1320 3.7794 5.3357
```

***

[14]
This record from the Alexandria database describes crystalline KPm2PrTe4 at its relaxed geometry. The functional is PBE.

## Properties
Total DFT energy (no corrections) = -4.8867 eV per atom
Spin magnetization = 0.000 μB per formula unit
Formation energy from raw total energies = -1.39 eV per atom

Cell and atoms, written as POSCAR:
```
KPm2PrTe4
1.0
-4.1915 1.0778 -1.2498
-1.9108 -7.7366 -0.2640
-2.6949 -2.1855 7.1530
K Pm Pr Te
1 2 1 4
Cartesian
-2.3028 -4.9610 3.4445
-2.6949 -2.1855 7.1530
-3.4432 -0.5539 2.9516
-3.0511 -3.3294 -0.7569
-3.4743 -7.5092 5.1755
-5.3229 -1.3351 0.4636
-4.1999 -5.9007 0.8781
-4.5972 -2.9436 4.7610
```

***

[15]
This record from the Alexandria database describes crystalline K4Pm3PrTe8 at its relaxed geometry. The functional is PBE.

## Properties
Total DFT energy (no corrections) = -4.4519 eV per atom
Spin magnetization = 0.000 μB per formula unit
Formation energy from raw total energies = -1.42 eV per atom

Cell and atoms, written as POSCAR:
```
K4Pm3PrTe8
1.0
9.2113 0.0000 0.0000
0.0000 9.8175 0.4166
-4.6057 -4.6032 6.5163
K Pm Pr Te
4 3 1 8
Cartesian
4.6057 0.0000 0.0000
2.3028 -2.3016 3.2582
0.0000 0.0000 0.0000
-2.3028 -2.3016 3.2582
4.6057 4.9087 0.2083
2.3028 2.6071 3.4665
-2.3028 2.6071 3.4665
0.0000 4.9087 0.2083
-2.2826 2.5259 6.6513
0.0000 4.8072 3.4216
0.0000 0.4034 3.5374
2.2826 2.5259 6.6513
2.3231 2.6883 0.2816
4.6057 4.8108 3.3956
4.6057 0.4070 3.5113
6.8883 2.6883 0.2816
```

***

[16]
This record from the Alexandria database describes crystalline K3PmPr2Te6 at its relaxed geometry. The functional is PBE.

## Properties
Total DFT energy (no corrections) = -4.4564 eV per atom
Spin magnetization = 0.000 μB per formula unit
Formation energy from raw total energies = -1.42 eV per atom

Cell and atoms, written as POSCAR:
```
K3PmPr2Te6
1.0
8.0185 -0.0017 0.0006
-4.0088 6.9445 0.0006
-1.3367 -2.3144 8.2600
K Pm Pr Te
3 1 2 6
Cartesian
-2.6591 4.6218 4.1306
5.3321 0.0066 4.1306
1.3365 2.3142 4.1306
0.0000 0.0000 0.0000
0.0025 4.6278 0.0006
4.0072 2.3150 0.0006
3.9969 2.3361 6.4843
2.6865 4.6517 1.7807
-1.3239 2.2923 1.7770
0.0259 4.6294 6.4843
-0.0135 -0.0233 6.4805
2.6471 -0.0011 1.7770
```

***

[17]
This record from the Alexandria database describes crystalline KPmPr2Te4 at its relaxed geometry. The functional is PBE.

## Properties
Total DFT energy (no corrections) = -4.8893 eV per atom
Spin magnetization = 0.000 μB per formula unit
Formation energy from raw total energies = -1.39 eV per atom

Cell and atoms, written as POSCAR:
```
KPmPr2Te4
1.0
-3.5949 -0.2409 -2.7438
2.2171 -7.3168 -2.2625
-3.3864 -5.3245 4.9042
K Pm Pr Te
1 1 2 4
Cartesian
-0.5847 -6.3206 1.3209
-0.6889 -3.7789 -2.5031
-3.3864 -5.3245 4.9042
-3.4906 -2.7827 1.0802
-0.8999 -9.5148 2.0143
-3.8643 -3.3673 -2.1164
-0.9233 -6.9376 -1.9188
-3.8409 -5.9446 1.8167
```

***

[18]
This record from the Alexandria database describes crystalline K4PmPr3Te8 at its relaxed geometry. The functional is PBE.

## Properties
Total DFT energy (no corrections) = -4.4571 eV per atom
Spin magnetization = 0.000 μB per formula unit
Formation energy from raw total energies = -1.42 eV per atom

Cell and atoms, written as POSCAR:
```
K4PmPr3Te8
1.0
-8.9421 0.0105 2.4371
2.5623 -1.3646 9.4075
3.5873 7.2708 -4.4924
K Pm Pr Te
4 1 3 8
Cartesian
-4.4711 0.0052 1.2185
-2.6774 3.6406 -1.0277
0.0000 0.0000 0.0000
1.7937 3.6354 -2.2462
1.2812 -0.6823 4.7038
-3.1899 -0.6771 5.9223
-1.3962 2.9583 3.6761
3.0748 2.9531 2.4576
3.2231 6.1401 2.9091
1.4134 2.4724 5.1753
0.2647 3.4120 0.9567
-1.2880 6.1454 4.1385
-1.5045 -0.2287 3.2137
-3.0572 2.5047 6.3955
-4.2058 3.4443 2.1769
-6.0155 -0.2234 4.4432
```

***

[19]
This record from the Alexandria database describes crystalline KPmPt4 at its relaxed geometry. The functional is PBE.

## Properties
ΔH_f (0 K) = -684 meV/atom
Total DFT energy (no corrections) = -5.6855 eV per atom
Spin magnetization = 0.000 μB per formula unit

Cell and atoms, written as POSCAR:
```
KPmPt4
1.0
5.5053 0.0000 0.0000
2.7527 4.7678 0.0000
2.7527 1.5893 4.4951
K Pt Pm
1 4 1
Cartesian
2.7527 1.5893 1.1238
5.5053 3.1785 0.5620
5.5053 1.5894 2.8094
6.8815 3.9731 2.8094
4.1291 3.9731 2.8094
0.0000 0.0000 0.0000
```

***

[20]
This record from the Alexandria database describes crystalline KPmPt2 at its relaxed geometry. The functional is PBE.

## Properties
ΔH_f (0 K) = -605 meV/atom
Total DFT energy (no corrections) = -5.0876 eV per atom
Spin magnetization = 0.000 μB per formula unit

Cell and atoms, written as POSCAR:
```
KPmPt2
1.0
3.5918 0.0000 0.0000
0.0000 3.5918 0.0000
0.0000 0.0000 7.9377
K Pt Pm
1 2 1
Cartesian
1.7959 1.7959 3.9688
0.0000 0.0000 6.3600
0.0000 0.0000 1.5776
1.7959 1.7959 0.0000
```

***

[21]
This record from the Alexandria database describes crystalline K2PmPuS4 at its relaxed geometry. The functional is PBE.

## Properties
Total DFT energy (no corrections) = -6.4366 eV per atom
Spin magnetization = 5.000 μB per formula unit
Formation energy from raw total energies = -1.71 eV per atom

Cell and atoms, written as POSCAR:
```
K2PmPuS4
1.0
4.1470 0.0000 0.0000
0.0000 7.1864 0.1184
0.0000 -2.5229 7.3144
K Pm Pu S
2 1 1 4
Cartesian
2.0735 -1.2615 3.6572
0.0000 2.3317 3.7164
0.0000 0.0000 0.0000
2.0735 3.5932 0.0592
2.0735 1.1877 1.5351
2.0735 3.4758 5.8977
0.0000 -0.0704 5.8757
0.0000 4.7338 1.5570
```

***

[22]
This record from the Alexandria database describes crystalline K3Pm3PuS8 at its relaxed geometry. The functional is PBE.

## Properties
Total DFT energy (no corrections) = -6.0892 eV per atom
Spin magnetization = 4.000 μB per formula unit
Formation energy from raw total energies = -1.76 eV per atom

Cell and atoms, written as POSCAR:
```
K3Pm3PuS8
1.0
-1.9623 7.9627 0.9044
-4.3188 -5.7915 3.9862
8.2236 1.7040 2.8437
K Pm Pu S
3 3 1 8
Cartesian
0.0000 0.0000 0.0000
-2.1594 -2.8958 1.9931
-3.1406 1.0856 2.4453
3.1306 4.8333 1.8740
0.9712 1.9376 3.8671
1.9524 -2.0438 3.4149
4.1118 0.8520 1.4218
-0.3851 -0.4570 3.1883
2.3276 4.3321 4.5459
-1.3941 3.5042 3.7573
3.3366 0.3709 3.9769
0.8547 6.5198 1.6818
1.0878 -2.6447 6.0524
1.8764 2.3737 1.2110
0.0661 1.5014 6.5232
```